Entry 1:
Crystalline Li5Ga2Au4 at its relaxed geometry. Source: the Alexandria database, functional PBE-GGA.

```
Li5Ga2Au4
1.0
2.891 0.000 0.000
0.000 7.343 0.379
0.000 1.554 8.894
Li Au Ga
5 4 2
direct
0.000 0.654 0.642
0.000 0.346 0.358
0.000 0.500 0.000
0.000 0.168 0.887
0.000 0.832 0.113
0.500 0.182 0.140
0.500 0.818 0.860
0.500 0.656 0.360
0.500 0.344 0.640
0.000 0.964 0.368
0.000 0.036 0.632
```

Mass density (g/cm3): 8.54

Entry 2:
Crystalline PrSm3Y2 at its relaxed geometry. Source: the Alexandria database, functional PBE-GGA.

```
PrSm3Y2
1.0
-6.922 2.053 0.566
2.225 -4.114 -4.179
-0.593 -5.022 10.899
Sm Y Pr
6 4 2
direct
0.292 0.333 0.583
0.375 0.000 0.750
0.041 0.333 0.083
0.708 0.667 0.417
0.959 0.667 0.917
0.625 0.000 0.250
0.541 0.333 0.083
0.792 0.333 0.583
0.459 0.667 0.917
0.208 0.667 0.417
0.875 0.000 0.750
0.125 0.000 0.250
```

Mass density (g/cm3): 6.34

Entry 3:
Crystalline CaDyRh at its relaxed geometry. Source: the Alexandria database, functional PBE-GGA.

```
CaDyRh
1.0
-4.453 -1.510 -1.085
-1.160 -4.656 0.510
-3.008 -1.366 3.517
Rh Ca Dy
1 1 1
direct
0.250 0.250 0.250
0.000 0.000 0.000
0.500 0.500 0.500
```

Mass density (g/cm3): 6.39

Entry 4:
Crystalline MgAsPt at its relaxed geometry. Source: the Alexandria database, functional PBE-GGA.

```
MgAsPt
1.0
4.742 -0.004 -0.056
2.008 4.296 0.056
-3.343 -2.195 2.548
Mg Pt As
1 1 1
direct
0.673 0.673 0.000
0.324 0.324 0.000
0.003 0.003 0.000
```

Mass density (g/cm3): 9.41

Asked for total DFT energy (no corrections) across the records above, the calculation gives -3.022; -5.298; -5.102; -4.488 eV/atom in order.
Asked for energy relative to the elements across the records above, the calculation gives -410; 13; -450; -393 meV/atom in order.